(1)
An optimized crystal structure of Tl2PbF4, computed with PBE-GGA.

Geometry as CIF:
```
data_Tl2PbF4
_cell_length_a 6.598
_cell_length_b 6.849
_cell_length_c 14.309
_cell_angle_alpha 90.00
_cell_angle_beta 90.00
_cell_angle_gamma 90.00
_symmetry_space_group_name_H-M 'P b c a'
_symmetry_Int_Tables_number 61
_symmetry_space_group_name_Hall '-P 2ac 2ab'
loop_
_atom_site_label
_atom_site_type_symbol
_atom_site_fract_x
_atom_site_fract_y
_atom_site_fract_z
Tl1 Tl 0.005 0.052 0.161
Pb1 Pb 0.000 0.000 0.500
F1 F 0.111 0.052 0.664
F2 F 0.194 0.199 0.963
```

Summary:
uncorrected energy: -0.3145 Ry per atom
polymorph energy (0 for the lowest one): 0.000 eV per formula unit
formation energy without anion corrections: -2.00 eV/atom



(2)
An optimized crystal structure of KGa2HgBr6, computed with PBE-GGA.

Geometry as CIF:
```
data_KGa2HgBr6
_cell_length_a 14.944
_cell_length_b 14.077
_cell_length_c 8.284
_cell_angle_alpha 90.00
_cell_angle_beta 106.44
_cell_angle_gamma 90.00
_symmetry_space_group_name_H-M 'C 1 2/c 1'
_symmetry_Int_Tables_number 15
_symmetry_space_group_name_Hall '-C 2yc'
loop_
_atom_site_label
_atom_site_type_symbol
_atom_site_fract_x
_atom_site_fract_y
_atom_site_fract_z
K1 K 0.000 0.142 0.250
Ga1 Ga 0.219 0.421 0.273
Hg1 Hg 0.000 0.289 0.750
Br1 Br 0.116 0.050 0.636
Br2 Br 0.152 0.489 0.500
Br3 Br 0.192 0.255 0.230
```

Summary:
uncorrected energy: -0.1893 Ry per atom
formation energy without anion corrections: -0.83 eV/atom



(3)
An optimized crystal structure of K8Pt, computed with PBE-GGA.

Geometry as CIF:
```
data_K8Pt
_cell_length_a 15.816
_cell_length_b 15.816
_cell_length_c 4.423
_cell_angle_alpha 90.00
_cell_angle_beta 90.00
_cell_angle_gamma 90.00
_symmetry_space_group_name_H-M 'I 4/m m m'
_symmetry_Int_Tables_number 139
_symmetry_space_group_name_Hall '-I 4 2'
loop_
_atom_site_label
_atom_site_type_symbol
_atom_site_fract_x
_atom_site_fract_y
_atom_site_fract_z
K1 K 0.000 0.332 0.000
K2 K 0.115 0.115 0.500
Pt1 Pt 0.000 0.000 0.000
```

Summary:
uncorrected energy: -0.1161 Ry per atom
formation energy: 0.6 eV per formula unit



> Look up the uncorrected energy of the third one.

-0.1161 Ry per atom